[1]
Entry from Alexandria via LeMat-Bulk: an optimized crystal structure of Cs3KMo2O8 (GGA+U).

Results
**Crystal system**: trigonal

Cell: 6.6343 6.6343 8.5251 Å, 90.00 90.00 120.00°
Space group P-3m1 (No. 164)
One atom of each set of equivalent atoms:
Cs1 0.0000 0.0000 0.0000 [1 per cell]
Cs2 0.3333 0.6667 0.6716 [2 per cell]
K1 0.0000 0.0000 0.5000 [1 per cell]
Mo1 0.3333 0.6667 0.2208 [2 per cell]
O1 0.1860 0.3719 0.2944 [6 per cell]
O2 0.3333 0.6667 0.0109 [2 per cell]



[2]
Entry from Alexandria via LeMat-Bulk: an optimized crystal structure of CsK2Mo2O7 (GGA+U).

Results
**Crystal system**: trigonal

Cell: 6.8531 6.8531 25.3111 Å, 90.00 90.00 120.00°
Space group R32 (No. 155, hexagonal axes)
One atom of each set of equivalent atoms:
Cs1 0.0000 0.0000 0.0000 [3 per cell]
K1 0.0000 0.0000 0.2806 [6 per cell]
Mo1 0.0000 0.0000 0.4244 [6 per cell]
O1 0.0000 0.0000 0.5000 [3 per cell]
O2 0.0041 0.2480 0.3989 [18 per cell]



The total DFT energy (no corrections) results, record by record, are as follows: -6.0114; -6.0281 eV per atom.
The volume results, record by record, are as follows: 325; 1029 Å³/cell.
The density of states at the Fermi level results, record by record, are as follows: 0.000; 6.597 states/eV/f.u..